No. 1
# PBE AcBe3P3, optimized geometry
data_AcBe3P3
_chemical_formula_sum 'Ac2 Be6 P6'
_cell_length_a 6.134
_cell_length_b 6.134
_cell_length_c 6.134
_cell_angle_alpha 90.00
_cell_angle_beta 90.00
_cell_angle_gamma 90.00
_symmetry_space_group_name_H-M 'P m -3 n'
_symmetry_Int_Tables_number 223
_symmetry_space_group_name_Hall '-P 4n 2 3'
loop_
_atom_site_label
_atom_site_fract_x
_atom_site_fract_y
_atom_site_fract_z
Ac1 0.000 0.000 0.000
Be1 0.000 0.250 0.500
P1 0.000 0.500 0.250
# Formation energy ... -585 meV per atom
# Total DFT energy (no corrections) ... -5.0878 eV per atom
# Spin magnetization ... 0.00 μB per formula unit
# Theoretical density ... 4.99 g/cm3
# ΔE to the lowest computed polymorph ... 0.00 eV/f.u.


No. 2
# PBE TiAl4Fe, optimized geometry
data_TiAl4Fe
_chemical_formula_sum 'Ti4 Al16 Fe4'
_cell_length_a 4.916
_cell_length_b 6.341
_cell_length_c 11.993
_cell_angle_alpha 90.00
_cell_angle_beta 90.00
_cell_angle_gamma 90.00
_symmetry_space_group_name_H-M 'I m m m'
_symmetry_Int_Tables_number 71
_symmetry_space_group_name_Hall '-I 2 2'
loop_
_atom_site_label
_atom_site_fract_x
_atom_site_fract_y
_atom_site_fract_z
Ti1 0.000 0.000 0.212
Al1 0.000 0.191 0.000
Al2 0.000 0.287 0.382
Al3 0.000 0.500 0.175
Fe1 0.227 0.000 0.500
# Formation energy ... -157 meV per atom
# Total DFT energy (no corrections) ... -5.3785 eV per atom
# Spin magnetization ... 2.16 μB per formula unit
# Theoretical density ... 3.76 g/cm3


No. 3
# PBE TlSnGeBr5, optimized geometry
data_TlSnGeBr5
_chemical_formula_sum 'Tl4 Sn4 Ge4 Br20'
_cell_length_a 10.553
_cell_length_b 11.721
_cell_length_c 10.817
_cell_angle_alpha 90.00
_cell_angle_beta 113.78
_cell_angle_gamma 90.00
_symmetry_space_group_name_H-M 'C 1 2/c 1'
_symmetry_Int_Tables_number 15
_symmetry_space_group_name_Hall '-C 2yc'
loop_
_atom_site_label
_atom_site_fract_x
_atom_site_fract_y
_atom_site_fract_z
Tl1 0.000 0.067 0.250
Sn1 0.250 0.250 0.000
Ge1 0.000 0.484 0.250
Br1 0.000 0.214 0.750
Br2 0.029 0.334 0.090
Br3 0.213 0.013 0.084
# E_form (uncorrected) ... -0.6934 eV per atom
# Total DFT energy (no corrections) ... -3.1123 eV per atom
# Spin magnetization ... 0.00 μB per formula unit
# Theoretical density ... 4.31 g/cm3


No. 4
# PBE Na2In6NiPt, optimized geometry
data_Na2In6NiPt
_chemical_formula_sum 'Na4 In12 Ni2 Pt2'
_cell_length_a 7.618
_cell_length_b 10.095
_cell_length_c 6.922
_cell_angle_alpha 90.00
_cell_angle_beta 90.00
_cell_angle_gamma 90.00
_symmetry_space_group_name_H-M 'P m m n'
_symmetry_Int_Tables_number 59
loop_
_symmetry_equiv_pos_as_xyz
'x,y,z'
'-x,-y,-z'
'-x+1/2,-y+1/2,z'
'x+1/2,y+1/2,-z'
'x+1/2,-y,-z'
'-x+1/2,y,z'
'-x,y+1/2,-z'
'x,-y+1/2,z'
loop_
_atom_site_label
_atom_site_fract_x
_atom_site_fract_y
_atom_site_fract_z
Na1 0.250 0.036 0.201
In1 0.020 0.750 0.437
In2 0.044 0.750 0.975
In3 0.250 0.502 0.697
Ni1 0.250 0.750 0.692
Pt1 0.250 0.250 0.819
# Formation energy ... -146 meV per atom
# Total DFT energy (no corrections) ... -3.2353 eV per atom
# Spin magnetization ... 0.00 μB per formula unit
# Theoretical density ... 6.17 g/cm3


No. 5
# PBE AlHPd3, optimized geometry
data_AlHPd3
_chemical_formula_sum 'Al3 H3 Pd9'
_cell_length_a 7.9082
_cell_length_b 7.9082
_cell_length_c 3.7799
_cell_angle_alpha 90.00
_cell_angle_beta 90.00
_cell_angle_gamma 120.00
_symmetry_space_group_name_H-M 'R 3 m'
_symmetry_Int_Tables_number 160
_symmetry_space_group_name_Hall 'R 3 -2"'
loop_
_atom_site_label
_atom_site_fract_x
_atom_site_fract_y
_atom_site_fract_z
Al1 0.0000 0.0000 0.0000
H1 0.0000 0.0000 0.4997
Pd1 0.2031 0.4062 0.1642
# Total DFT energy (no corrections) ... -4.7480 eV per atom
# Spin magnetization ... 0.00 μB per formula unit
# Theoretical density ... 8.45 g/cm3
# ΔE to the lowest computed polymorph ... 1.71 eV/f.u.


No. 6
# PBE Mg2Tl2In15, optimized geometry
data_Mg2Tl2In15
_chemical_formula_sum 'Mg6 Tl6 In45'
_cell_length_a 10.2731
_cell_length_b 10.2731
_cell_length_c 17.6251
_cell_angle_alpha 90.00
_cell_angle_beta 90.00
_cell_angle_gamma 120.00
_symmetry_space_group_name_H-M 'R -3 m'
_symmetry_Int_Tables_number 166
_symmetry_space_group_name_Hall '-R 3 2"'
loop_
_atom_site_label
_atom_site_fract_x
_atom_site_fract_y
_atom_site_fract_z
Mg1 0.0000 0.0000 0.1000
Tl1 0.0000 0.0000 0.3000
In1 0.0000 0.2892 0.0000
In2 0.0000 0.5000 0.5000
In3 0.0351 0.5176 0.1229
# Formation energy ... 50 meV per atom
# Total DFT energy (no corrections) ... -2.5285 eV per atom
# Spin magnetization ... 0.00 μB per formula unit
# Theoretical density ... 6.74 g/cm3